# 1
Computed, not measured: a relaxed structure of TaBeAl at the PBE level of DFT.

## Properties
The calculation puts the energy above the lowest structure with this stoichiometry at 185 meV/atom. The value obtained for the formation energy is -127 meV/atom. The total DFT energy (no corrections) comes out at -6.57 eV per atom. The calculation puts the density of states at the Fermi level at 0.55 states/eV/cell.

Unit cell a=3.962 b=3.962 c=3.077 alpha=90.00 beta=90.00 gamma=120.00
Positions (direct):
Be (0.333, 0.667, 0.167)
Al (0.000, 0.000, 0.167)
Ta (0.667, 0.333, 0.667)

***

# 2
Computed, not measured: a relaxed structure of LiSi2Ag at the PBE level of DFT.

## Properties
The calculation puts the energy above the lowest structure with this stoichiometry at 249 meV/atom. The total DFT energy (no corrections) comes out at -3.60 eV per atom. The calculation puts the density of states at the Fermi level at 2.58 states/eV/cell. The value obtained for the formation energy from raw total energies is 1.194 eV/f.u.

Unit cell a=7.623 b=7.623 c=5.920 alpha=49.92 beta=49.92 gamma=90.00
Positions (direct):
Si (0.662, 0.125, 0.250)
Si (0.088, 0.625, 0.250)
Si (0.375, 0.338, 0.750)
Si (0.875, 0.912, 0.750)
Ag (0.000, 0.000, 0.000)
Ag (0.750, 0.250, 0.500)
Li (0.500, 0.500, 0.000)
Li (0.250, 0.750, 0.500)

***

# 3
Computed, not measured: a relaxed structure of PuBeHgO6 at the PBE level of DFT.

## Properties
The total DFT energy (no corrections) comes out at -6.87 eV per atom. The calculation puts the density of states at the Fermi level at 1.02 states/eV/cell. The value obtained for the formation energy from raw total energies is -13.714 eV/f.u.

Unit cell a=5.076 b=5.076 c=5.053 alpha=89.98 beta=90.00 gamma=60.00
Positions (direct):
Pu (0.667, 0.667, 0.500)
Be (0.333, 0.333, 0.500)
Hg (0.000, 0.000, 0.000)
O (0.016, 0.359, 0.292)
O (0.359, 0.017, 0.708)
O (0.624, 0.359, 0.708)
O (0.017, 0.624, 0.708)
O (0.359, 0.624, 0.292)
O (0.624, 0.017, 0.292)

***

# 4
Computed, not measured: a relaxed structure of CaCeH8Rh2 at the PBE level of DFT.

## Properties
The total DFT energy (no corrections) comes out at -4.39 eV per atom. The calculation puts the density of states at the Fermi level at 8.73 states/eV/cell.

Unit cell a=4.742 b=4.742 c=6.811 alpha=69.63 beta=69.63 gamma=60.00
Last column: magnetic moment on the atom in μB.
Positions (direct):
Ca (0.000, 0.000, 0.000)  0.00
Ce (0.500, 0.500, 0.500)  0.49
H (0.129, 0.129, 0.612)  0.00
H (0.440, 0.440, 0.177)  0.00
H (0.871, 0.871, 0.388)  0.00
H (0.944, 0.440, 0.177)  0.00
H (0.056, 0.560, 0.823)  0.00
H (0.440, 0.944, 0.177)  0.00
H (0.560, 0.056, 0.823)  0.00
H (0.560, 0.560, 0.823)  0.00
Rh (0.220, 0.220, 0.340)  0.02
Rh (0.780, 0.780, 0.660)  0.02